No. 1
Computed, not measured: an optimized crystal structure of Hf3NbFe at the GGA-PBE level of DFT.

Unit cell a=4.9673 b=4.9673 c=4.9673 alpha=90.00 beta=90.00 gamma=90.00
Sites, in units of the cell vectors:
Hf 0.0000 0.0000 0.5000
Hf 0.0000 0.5000 0.0000
Hf 0.5000 0.0000 0.0000
Nb 0.0000 0.0000 0.0000
Fe 0.5000 0.5000 0.5000

Output
The value obtained for the density of states at the Fermi level is 13.35 states/eV per cell. Its formation energy is 1.568 eV per atom.



No. 2
Computed, not measured: an optimized crystal structure of Hf4NbFe5 at the GGA-PBE level of DFT.

Unit cell a=3.1186 b=3.1186 c=15.6484 alpha=90.00 beta=90.00 gamma=90.00
Sites, in units of the cell vectors:
Hf 0.0000 0.0000 0.1008
Hf 0.0000 0.0000 0.3020
Hf 0.0000 0.0000 0.6980
Hf 0.0000 0.0000 0.8992
Nb 0.0000 0.0000 0.5000
Fe 0.5000 0.5000 0.0000
Fe 0.5000 0.5000 0.2015
Fe 0.5000 0.5000 0.4048
Fe 0.5000 0.5000 0.5952
Fe 0.5000 0.5000 0.7985

Output
The value obtained for the density of states at the Fermi level is 5.64 states/eV per cell. Its formation energy is -0.263 eV per atom.



No. 3
Computed, not measured: an optimized crystal structure of Hf3NbFe at the GGA-PBE level of DFT.

Unit cell a=4.7303 b=4.7303 c=4.7303 alpha=90.00 beta=90.00 gamma=90.00
Sites, in units of the cell vectors:
Hf 0.0000 0.0000 0.5000
Hf 0.0000 0.5000 0.0000
Hf 0.5000 0.0000 0.0000
Nb 0.5000 0.5000 0.5000
Fe 0.0000 0.0000 0.0000

Output
The value obtained for the density of states at the Fermi level is 4.38 states/eV per cell. Its formation energy is 0.430 eV per atom.



No. 4
Computed, not measured: an optimized crystal structure of HfNbFe3 at the GGA-PBE level of DFT.

Unit cell a=4.4374 b=4.4374 c=4.4374 alpha=90.00 beta=90.00 gamma=90.00
Sites, in units of the cell vectors:
Hf 0.0000 0.0000 0.0000
Nb 0.5000 0.5000 0.5000
Fe 0.0000 0.5000 0.5000
Fe 0.5000 0.0000 0.5000
Fe 0.5000 0.5000 0.0000

Output
The value obtained for the density of states at the Fermi level is 5.72 states/eV per cell. Its formation energy is 1.080 eV per atom.